A geometry-optimized LiAc4Ag3 structure. Source: the Alexandria database, functional GGA-PBE.

The calculation puts the density of states at the Fermi level at 7.6 states/eV per cell. The value obtained for the volume is 32.14 Å³/atom. The calculation puts the total DFT energy (no corrections) at -28.3 eV/cell. The formation energy comes out at -0.18 eV/atom.

The structure belongs to space group Pmm2 (No. 25); the cell edges are 4.2881, 5.0223 and 11.9386 Å and the angles 90.00°, 90.00° and 90.00°. The asymmetric unit holds Li at (0.0000, 0.0000, 0.0000), Ac at (0.0000, 0.0000, 0.2962), Ac at (0.0000, 0.5000, 0.5827), Ac at (0.5000, 0.0000, 0.7860), Ac at (0.5000, 0.5000, 0.0853), Ag at (0.0000, 0.5000, 0.8712), Ag at (0.5000, 0.0000, 0.5095) and Ag at (0.5000, 0.5000, 0.3673).